(1)
KNaFe2B (PBE-GGA, optimized geometry); volume = 90 Å³ per cell; E_tot = -22.30 eV per formula unit; DOS at the Fermi energy = 6.33 states/eV/cell; space group = P4/mmm
1.0
4.017 0.000 0.000
0.000 4.017 0.000
0.000 0.000 5.561
K Na Fe B
1 1 2 1
Cartesian
0.000 0.000 0.000 K
2.009 2.009 0.000 Na
0.000 2.009 2.781 Fe
2.009 0.000 2.781 Fe
0.000 0.000 2.781 B

=====

(2)
ZnHgBi2 (PBE-GGA, optimized geometry); volume = 113 Å³ per cell; E_tot = -8.86 eV per formula unit; ΔE to the lowest computed polymorph = 0 kJ/mol of formula units; DOS at the Fermi energy = 1.80 states/eV/cell; space group = P4/mmm
1.0
3.657 0.000 0.000
0.000 3.657 0.000
0.000 0.000 8.424
Zn Hg Bi
1 1 2
Cartesian
0.000 0.000 0.000 Zn
0.000 0.000 4.212 Hg
1.828 1.828 1.618 Bi
1.828 1.828 6.806 Bi

=====

(3)
ZnTePb2N (PBE-GGA, optimized geometry); volume = 152 Å³ per cell; E_tot = -15.50 eV per formula unit; uncorrected formation energy = 0.931 eV/atom; DOS at the Fermi energy = 4.92 states/eV/cell; space group = P4/mmm
1.0
6.116 0.000 0.000
0.000 6.116 0.000
0.000 0.000 4.057
Zn Te Pb N
1 1 2 1
Cartesian
0.000 0.000 0.000 Zn
3.058 3.058 2.029 Te
0.000 3.058 2.029 Pb
3.058 0.000 2.029 Pb
3.058 3.058 0.000 N

=====

(4)
CsLiRh3 (PBE-GGA, optimized geometry); volume = 94 Å³ per cell; E_tot = -19.36 eV per formula unit; ΔE to the lowest computed polymorph = 0 kJ/mol of formula units; DOS at the Fermi energy = 13.92 states/eV/cell; space group = Pm-3m
1.0
4.544 0.000 0.000
0.000 4.544 0.000
0.000 0.000 4.544
Cs Li Rh
1 1 3
Cartesian
0.000 0.000 0.000 Cs
2.272 2.272 2.272 Li
0.000 2.272 2.272 Rh
2.272 0.000 2.272 Rh
2.272 2.272 0.000 Rh

=====

(5)
Si2AsPt (PBE-GGA, optimized geometry); volume = 65 Å³ per cell; E_tot = -21.66 eV per formula unit; uncorrected formation energy = -0.032 eV/atom; DOS at the Fermi energy = 1.47 states/eV/cell; space group = P2/m
1.0
2.679 0.000 0.000
0.000 3.437 0.000
-0.012 0.000 7.050
Si As Pt
2 1 1
Cartesian
2.677 0.000 1.543 Si
-0.009 0.000 5.507 Si
-0.006 1.718 3.525 As
1.340 1.718 0.000 Pt

=====

(6)
Rb2TlSn4Au3 (PBE-GGA, optimized geometry); volume = 290 Å³ per cell; E_tot = -32.36 eV per formula unit; DOS at the Fermi energy = 5.23 states/eV/cell; space group = P-4m2
1.0
4.987 0.000 0.000
0.000 4.987 0.000
0.000 0.000 11.643
Rb Tl Sn Au
2 1 4 3
Cartesian
0.000 2.493 2.895 Rb
2.493 0.000 8.748 Rb
2.493 2.493 0.000 Tl
0.000 0.000 5.822 Sn
0.000 2.493 10.021 Sn
2.493 0.000 1.622 Sn
2.493 2.493 5.822 Sn
0.000 0.000 0.000 Au
0.000 2.493 7.237 Au
2.493 0.000 4.406 Au

=====

(7)
BaBeP2 (PBE-GGA, optimized geometry); volume = 83 Å³ per cell; E_tot = -17.11 eV per formula unit; ΔE to the lowest computed polymorph = 167 kJ/mol of formula units; DOS at the Fermi energy = 1.10 states/eV/cell; space group = R3m
1.0
2.056 1.187 5.663
-2.056 1.187 5.663
0.000 -2.374 5.663
Ba Be P
1 1 2
Cartesian
0.000 0.000 0.000 Ba
0.000 0.000 3.278 Be
0.000 0.000 8.982 P
0.000 0.000 13.808 P

=====

(8)
TlSiTeBr2 (PBE-GGA, optimized geometry); volume = 153 Å³ per cell; E_tot = -15.47 eV per formula unit; uncorrected formation energy = -0.239 eV/atom; DOS at the Fermi energy = 4.21 states/eV/cell; space group = P4/mmm
1.0
5.270 0.000 0.000
0.000 5.270 0.000
0.000 0.000 5.502
Tl Si Te Br
1 1 1 2
Cartesian
0.000 0.000 0.000 Tl
2.635 2.635 2.751 Si
2.635 2.635 0.000 Te
0.000 2.635 2.751 Br
2.635 0.000 2.751 Br

=====

(9)
TcOs2Au (PBE-GGA, optimized geometry); volume = 62 Å³ per cell; E_tot = -33.29 eV per formula unit; ΔE to the lowest computed polymorph = 177 kJ/mol of formula units; DOS at the Fermi energy = 5.27 states/eV/cell; space group = P2/m
1.0
2.688 0.000 0.000
0.000 4.744 0.000
-0.112 0.000 4.857
Tc Os Au
1 2 1
Cartesian
0.000 0.000 0.000 Tc
0.546 2.372 3.679 Os
2.029 2.372 1.178 Os
1.288 0.000 2.428 Au

=====

(10)
BaTlSn4 (PBE-GGA, optimized geometry); volume = 187 Å³ per cell; E_tot = -22.01 eV per formula unit; DOS at the Fermi energy = 3.22 states/eV/cell; space group = F-43m
1.0
0.000 4.539 4.539
4.539 0.000 4.539
4.539 4.539 0.000
Ba Tl Sn
1 1 4
Cartesian
0.000 0.000 0.000 Ba
2.270 2.270 2.270 Tl
5.673 3.405 3.405 Sn
3.405 5.673 3.405 Sn
3.405 3.405 5.673 Sn
5.673 5.673 5.673 Sn

=====

(11)
InFeGe2 (PBE-GGA, optimized geometry); volume = 157 Å³ per cell; E_tot = -18.93 eV per formula unit; DOS at the Fermi energy = 8.24 states/eV/cell; space group = I-42d
1.0
-2.231 2.231 7.885
2.231 -2.231 7.885
2.231 2.231 -7.885
In Fe Ge
2 2 4
Cartesian
0.000 0.000 0.000 In
0.000 2.231 3.942 In
2.231 0.000 3.942 Fe
0.000 0.000 7.885 Fe
1.116 -0.686 5.914 Ge
1.545 1.116 1.971 Ge
1.116 2.918 -1.971 Ge
0.686 1.116 9.856 Ge

=====

(12)
SiTeSe (PBE-GGA, optimized geometry); volume = 73 Å³ per cell; E_tot = -10.77 eV per formula unit; ΔE to the lowest computed polymorph = 172 kJ/mol of formula units; uncorrected formation energy = 0.426 eV/atom; DOS at the Fermi energy = 1.16 states/eV/cell; space group = I4mm
1.0
-1.924 1.924 4.947
1.924 -1.924 4.947
1.924 1.924 -4.947
Si Te Se
1 1 1
Cartesian
0.000 0.000 0.000 Si
0.000 0.000 3.569 Te
0.000 0.000 6.184 Se

=====

(13)
KSrNi3 (PBE-GGA, optimized geometry); volume = 144 Å³ per cell; E_tot = -13.15 eV per formula unit; ΔE to the lowest computed polymorph = 0 kJ/mol of formula units; DOS at the Fermi energy = 5.30 states/eV/cell; space group = Pm-3m
1.0
5.242 0.000 0.000
0.000 5.242 0.000
0.000 0.000 5.242
K Sr Ni
1 1 3
Cartesian
0.000 0.000 0.000 K
2.621 2.621 2.621 Sr
0.000 2.621 2.621 Ni
2.621 0.000 2.621 Ni
2.621 2.621 0.000 Ni

=====

(14)
Pm2YAu2 (PBE-GGA, optimized geometry); volume = 269 Å³ per cell; E_tot = -25.86 eV per formula unit; DOS at the Fermi energy = 10.82 states/eV/cell; space group = P4/mbm
1.0
8.321 0.000 0.000
0.000 8.321 0.000
0.000 0.000 3.879
Pm Y Au
4 2 4
Cartesian
1.377 2.784 0.000 Pm
2.784 6.944 0.000 Pm
5.537 1.377 0.000 Pm
6.944 5.537 0.000 Pm
0.000 0.000 1.940 Y
4.161 4.161 1.940 Y
1.088 5.248 1.940 Au
3.073 1.088 1.940 Au
5.248 7.234 1.940 Au
7.234 3.073 1.940 Au

=====

(15)
Al2AgPt2 (PBE-GGA, optimized geometry); volume = 88 Å³ per cell; E_tot = -24.71 eV per formula unit; ΔE to the lowest computed polymorph = 159 kJ/mol of formula units; DOS at the Fermi energy = 1.39 states/eV/cell; space group = I4/mmm
1.0
-1.989 1.989 5.564
1.989 -1.989 5.564
1.989 1.989 -5.564
Al Ag Pt
2 1 2
Cartesian
0.000 0.000 1.273 Al
0.000 0.000 9.856 Al
0.000 0.000 5.564 Ag
1.989 0.000 2.782 Pt
0.000 1.989 2.782 Pt

=====

(16)
Ni3GeOs (PBE-GGA, optimized geometry); volume = 92 Å³ per cell; E_tot = -26.71 eV per formula unit; ΔE to the lowest computed polymorph = 64 kJ/mol of formula units; DOS at the Fermi energy = 7.26 states/eV/cell; space group = Pm-3m
1.0
4.518 0.000 0.000
0.000 4.518 0.000
0.000 0.000 4.518
Ni Ge Os
3 1 1
Cartesian
0.000 0.000 2.259 Ni
0.000 2.259 0.000 Ni
2.259 0.000 0.000 Ni
2.259 2.259 2.259 Ge
0.000 0.000 0.000 Os